A) The following is a DFT calculation (PBE) of crystalline Ho4Ga2Hg at its relaxed geometry.

Cell lengths 4.942, 4.942, 9.485 Å; angles 74.90, 74.90, 60.00 degrees
Fractional positions:
1 Ho 0.381 0.381 0.856
2 Ho 0.204 0.204 0.387
3 Ho 0.796 0.796 0.613
4 Ho 0.619 0.619 0.144
5 Ga 0.098 0.098 0.706
6 Ga 0.902 0.902 0.294
7 Hg 0.000 0.000 0.000

Values from the calculation:
V	191.3	Å³/cell
space group	R-3m
magnetization	0.000	μB/f.u.

=====

B) The following is a DFT calculation (PBE) of crystalline Ho4Ga2Hg at its relaxed geometry.

Cell lengths 5.052, 5.052, 8.678 Å; angles 73.08, 73.08, 60.00 degrees
Fractional positions:
1 Ho 0.871 0.871 0.388
2 Ho 0.129 0.129 0.612
3 Ho 0.618 0.618 0.145
4 Ho 0.382 0.382 0.855
5 Ga 0.750 0.750 0.749
6 Ga 0.250 0.250 0.251
7 Hg 0.000 0.000 0.000

Values from the calculation:
V	180.7	Å³/cell
space group	R-3m
magnetization	0.000	μB/f.u.

=====

Q: Which of them is the least stable? A: A).

=====

A) The following is a DFT calculation (PBE) of crystalline Ho6Ga2Hg at its relaxed geometry.

Cell lengths 4.957, 7.057, 8.643 Å; angles 114.09, 106.65, 90.00 degrees
Fractional positions:
1 Ho 0.169 0.420 0.338
2 Ho 0.831 0.082 0.662
3 Ho 0.831 0.580 0.662
4 Ho 0.500 0.255 0.000
5 Ho 0.169 0.918 0.338
6 Ho 0.500 0.745 0.000
7 Ga 0.667 0.667 0.334
8 Ga 0.333 0.333 0.666
9 Hg 0.000 0.000 0.000

Values from the calculation:
V	262.1	Å³/cell
space group	Immm
magnetization	0.000	μB/f.u.

=====

B) The following is a DFT calculation (PBE) of crystalline Ho6Ga2Hg at its relaxed geometry.

Cell lengths 8.564, 8.564, 8.564 Å; angles 105.01, 111.91, 111.58 degrees
Fractional positions:
1 Ho 0.543 0.725 0.819
2 Ho 0.457 0.275 0.181
3 Ho 0.094 0.275 0.819
4 Ho 0.906 0.725 0.181
5 Ho 0.801 0.755 0.555
6 Ho 0.199 0.245 0.445
7 Ho 0.199 0.755 0.954
8 Ho 0.801 0.245 0.046
9 Ho 0.705 0.382 0.677
10 Ho 0.295 0.618 0.323
11 Ho 0.295 0.972 0.677
12 Ho 0.705 0.028 0.323
13 Ga 0.500 0.378 0.878
14 Ga 0.500 0.622 0.122
15 Ga 0.647 0.000 0.647
16 Ga 0.353 0.000 0.353
17 Hg 0.000 0.500 0.500
18 Hg 0.000 0.000 0.000

Values from the calculation:
V	481.3	Å³/cell
space group	Immm
magnetization	0.000	μB/f.u.

=====

Q: Which of them is the least stable? A: A).

=====

A) The following is a DFT calculation (PBE) of crystalline GaHgI2 at its relaxed geometry.

Cell lengths 8.778, 8.778, 8.877 Å; angles 60.37, 60.37, 90.00 degrees
Fractional positions:
1 I 0.433 0.125 0.250
2 I 0.317 0.625 0.250
3 I 0.375 0.567 0.750
4 I 0.875 0.683 0.750
5 Hg 0.000 0.000 0.000
6 Hg 0.750 0.250 0.500
7 Ga 0.500 0.500 0.000
8 Ga 0.250 0.750 0.500

Values from the calculation:
V	489.0	Å³/cell
space group	I-42d
magnetization	0.000	μB/f.u.

=====

B) The following is a DFT calculation (PBE) of crystalline GaHgI2 at its relaxed geometry.

Cell lengths 5.667, 5.667, 5.667 Å; angles 60.00, 60.00, 60.00 degrees
Fractional positions:
1 I 0.250 0.250 0.250
2 I 0.750 0.750 0.750
3 Hg 0.500 0.500 0.500
4 Ga 0.000 0.000 0.000

Values from the calculation:
V	128.7	Å³/cell
space group	Fm-3m
magnetization	0.000	μB/f.u.

=====

Q: Which of them is the least stable? A: B).

=====

A) The following is a DFT calculation (PBE) of crystalline GaHgI2 at its relaxed geometry.

Cell lengths 4.014, 4.014, 7.961 Å; angles 90.00, 90.00, 90.00 degrees
Fractional positions:
1 I 0.000 0.000 0.759
2 I 0.000 0.000 0.241
3 Hg 0.500 0.500 0.500
4 Ga 0.500 0.500 0.000

Values from the calculation:
V	128.3	Å³/cell
space group	P4/mmm
magnetization	0.000	μB/f.u.

=====

B) The following is a DFT calculation (PBE) of crystalline GaHgI2 at its relaxed geometry.

Cell lengths 4.326, 5.334, 7.317 Å; angles 111.39, 82.87, 90.00 degrees
Fractional positions:
1 Ga 0.250 0.959 0.500
2 Hg 0.750 0.260 0.500
3 I 0.030 0.786 0.791
4 I 0.469 0.495 0.209

Values from the calculation:
V	155.8	Å³/cell
space group	C2
magnetization	0.000	μB/f.u.

=====

C) The following is a DFT calculation (PBE) of crystalline GaHgI2 at its relaxed geometry.

Cell lengths 4.112, 4.112, 10.721 Å; angles 78.94, 78.94, 60.00 degrees
Fractional positions:
1 Ga 0.666 0.666 0.001
2 Hg 0.501 0.501 0.496
3 I 0.057 0.057 0.830
4 I 0.276 0.276 0.173

Values from the calculation:
V	153.1	Å³/cell
space group	R3m
magnetization	0.000	μB/f.u.

=====

Q: Which of them is the least stable? A: A).

=====

A) The following is a DFT calculation (PBE) of crystalline GaHg4I at its relaxed geometry.

Cell lengths 7.437, 7.677, 8.440 Å; angles 109.26, 116.23, 88.11 degrees
Fractional positions:
1 Ga 0.500 0.000 0.500
2 Ga 0.000 0.500 0.500
3 Hg 0.533 0.067 0.863
4 Hg 0.693 0.472 0.146
5 Hg 0.467 0.933 0.137
6 Hg 0.307 0.528 0.854
7 Hg 0.839 0.820 0.630
8 Hg 0.232 0.697 0.415
9 Hg 0.161 0.180 0.370
10 Hg 0.768 0.303 0.585
11 I 0.893 0.759 0.016
12 I 0.107 0.241 0.984

Values from the calculation:
V	404.4	Å³/cell
space group	P-1
magnetization	0.000	μB/f.u.

=====

B) The following is a DFT calculation (PBE) of crystalline GaHg4I at its relaxed geometry.

Cell lengths 6.468, 6.468, 6.468 Å; angles 60.00, 60.00, 60.00 degrees
Fractional positions:
1 I 0.250 0.250 0.250
2 Hg 0.625 0.625 0.126
3 Hg 0.625 0.126 0.625
4 Hg 0.625 0.625 0.625
5 Hg 0.126 0.625 0.625
6 Ga 0.000 0.000 0.000

Values from the calculation:
V	191.4	Å³/cell
space group	F-43m
magnetization	0.000	μB/f.u.

=====

Q: Which of them is the least stable? A: B).

=====

A) The following is a DFT calculation (PBE) of crystalline Ga2Hg2I at its relaxed geometry.

Cell lengths 8.621, 8.621, 3.747 Å; angles 90.00, 90.00, 90.00 degrees
Fractional positions:
1 I 0.000 0.000 0.000
2 I 0.500 0.500 0.000
3 Hg 0.371 0.871 0.000
4 Hg 0.871 0.629 0.000
5 Hg 0.629 0.129 0.000
6 Hg 0.129 0.371 0.000
7 Ga 0.175 0.675 0.500
8 Ga 0.675 0.825 0.500
9 Ga 0.825 0.325 0.500
10 Ga 0.325 0.175 0.500

Values from the calculation:
V	278.4	Å³/cell
space group	P4/mbm
magnetization	0.000	μB/f.u.

=====

B) The following is a DFT calculation (PBE) of crystalline Ga2Hg2I at its relaxed geometry.

Cell lengths 5.325, 5.325, 6.398 Å; angles 65.41, 65.41, 90.00 degrees
Fractional positions:
1 I 0.000 0.000 0.000
2 Hg 0.353 0.353 0.294
3 Hg 0.647 0.647 0.706
4 Ga 0.750 0.250 0.500
5 Ga 0.250 0.750 0.500

Values from the calculation:
V	146.6	Å³/cell
space group	I4/mmm
magnetization	0.000	μB/f.u.

=====

C) The following is a DFT calculation (PBE) of crystalline Ga2Hg2I at its relaxed geometry.

Cell lengths 4.639, 4.639, 7.320 Å; angles 71.52, 71.52, 90.00 degrees
Fractional positions:
1 I 0.000 0.000 0.000
2 Hg 0.750 0.250 0.500
3 Hg 0.250 0.750 0.500
4 Ga 0.398 0.398 0.205
5 Ga 0.602 0.602 0.795

Values from the calculation:
V	140.8	Å³/cell
space group	I4/mmm
magnetization	0.000	μB/f.u.

=====

Q: Which of them is the least stable? A: A).

=====

A) The following is a DFT calculation (PBE) of crystalline Ga3HgI3 at its relaxed geometry.

Cell lengths 9.060, 9.060, 9.060 Å; angles 90.00, 90.00, 90.00 degrees
Fractional positions:
1 I 0.000 0.250 0.500
2 I 0.000 0.750 0.500
3 I 0.500 0.000 0.750
4 I 0.750 0.500 0.000
5 I 0.500 0.000 0.250
6 I 0.250 0.500 0.000
7 Hg 0.500 0.500 0.500
8 Hg 0.000 0.000 0.000
9 Ga 0.250 0.000 0.500
10 Ga 0.000 0.500 0.250
11 Ga 0.500 0.750 0.000
12 Ga 0.750 0.000 0.500
13 Ga 0.000 0.500 0.750
14 Ga 0.500 0.250 0.000

Values from the calculation:
V	743.8	Å³/cell
space group	Pm-3n
magnetization	0.000	μB/f.u.

=====

B) The following is a DFT calculation (PBE) of crystalline Ga3HgI3 at its relaxed geometry.

Cell lengths 8.184, 8.023, 10.296 Å; angles 59.27, 82.97, 69.89 degrees
Fractional positions:
1 Ga 0.596 0.275 0.906
2 Ga 0.272 0.934 0.589
3 Ga 0.951 0.581 0.256
4 Ga 0.049 0.419 0.744
5 Ga 0.728 0.066 0.411
6 Ga 0.404 0.725 0.094
7 Hg 0.340 0.327 0.337
8 Hg 0.660 0.673 0.663
9 I 0.761 0.426 0.099
10 I 0.096 0.761 0.434
11 I 0.411 0.096 0.773
12 I 0.589 0.904 0.227
13 I 0.904 0.239 0.566
14 I 0.239 0.574 0.901

Values from the calculation:
V	544.6	Å³/cell
space group	P-1
magnetization	0.000	μB/f.u.

=====

Q: Which of them is the least stable? A: A).

=====

A) The following is a DFT calculation (PBE) of crystalline InGaHg2I at its relaxed geometry.

Cell lengths 5.333, 5.333, 6.180 Å; angles 90.00, 90.00, 90.00 degrees
Fractional positions:
1 I 0.000 0.000 0.500
2 Hg 0.000 0.500 0.000
3 Hg 0.500 0.000 0.000
4 Ga 0.000 0.000 0.000
5 In 0.500 0.500 0.500

Values from the calculation:
V	175.8	Å³/cell
space group	P4/mmm
magnetization	0.000	μB/f.u.

=====

B) The following is a DFT calculation (PBE) of crystalline InGaHg2I at its relaxed geometry.

Cell lengths 5.611, 5.611, 5.526 Å; angles 90.00, 90.00, 90.00 degrees
Fractional positions:
1 I 0.500 0.500 0.500
2 Hg 0.000 0.500 0.000
3 Hg 0.500 0.000 0.000
4 Ga 0.000 0.000 0.500
5 In 0.000 0.000 0.000

Values from the calculation:
V	174.0	Å³/cell
space group	P4/mmm
magnetization	0.000	μB/f.u.

=====

C) The following is a DFT calculation (PBE) of crystalline InGaHg2I at its relaxed geometry.

Cell lengths 5.335, 5.335, 5.612 Å; angles 90.00, 90.00, 90.00 degrees
Fractional positions:
1 I 0.500 0.500 0.500
2 Hg 0.000 0.500 0.000
3 Hg 0.500 0.000 0.000
4 Ga 0.000 0.000 0.000
5 In 0.000 0.000 0.500

Values from the calculation:
V	159.8	Å³/cell
space group	P4/mmm
magnetization	0.000	μB/f.u.

=====

Q: Which of them is the least stable? A: B).

=====

A) The following is a DFT calculation (PBE) of crystalline GaHgIN2 at its relaxed geometry.

Cell lengths 4.062, 4.062, 6.938 Å; angles 90.00, 90.00, 90.00 degrees
Fractional positions:
1 I 0.000 0.000 0.500
2 Hg 0.500 0.500 0.500
3 Ga 0.000 0.000 0.000
4 N 0.000 0.500 0.000
5 N 0.500 0.000 0.000

Values from the calculation:
V	114.5	Å³/cell
space group	P4/mmm
magnetization	2.712	μB/f.u.

=====

B) The following is a DFT calculation (PBE) of crystalline GaHgIN2 at its relaxed geometry.

Cell lengths 4.407, 4.407, 7.757 Å; angles 90.00, 90.00, 90.00 degrees
Fractional positions:
1 I 0.000 0.000 0.500
2 Hg 0.000 0.000 0.000
3 Ga 0.500 0.500 0.500
4 N 0.000 0.500 0.000
5 N 0.500 0.000 0.000

Values from the calculation:
V	150.7	Å³/cell
space group	P4/mmm
magnetization	3.290	μB/f.u.

=====

Q: Which of them is the least stable? A: B).

=====

A) The following is a DFT calculation (PBE) of crystalline GaHgIO2 at its relaxed geometry.

Cell lengths 3.665, 7.373, 8.142 Å; angles 89.00, 90.00, 90.00 degrees
Fractional positions:
1 Ga 0.250 0.547 0.369
2 Ga 0.750 0.453 0.631
3 Hg 0.250 0.714 0.967
4 Hg 0.750 0.286 0.033
5 I 0.250 0.979 0.745
6 I 0.750 0.021 0.255
7 O 0.750 0.612 0.441
8 O 0.250 0.388 0.559
9 O 0.750 0.496 0.849
10 O 0.250 0.504 0.151

Values from the calculation:
V	220.0	Å³/cell
space group	P2_1/m
magnetization	0.000	μB/f.u.

=====

B) The following is a DFT calculation (PBE) of crystalline GaHgIO2 at its relaxed geometry.

Cell lengths 4.283, 4.283, 6.916 Å; angles 90.00, 90.00, 90.00 degrees
Fractional positions:
1 I 0.000 0.000 0.500
2 O 0.000 0.500 0.000
3 O 0.500 0.000 0.000
4 Hg 0.000 0.000 0.000
5 Ga 0.500 0.500 0.500

Values from the calculation:
V	126.9	Å³/cell
space group	P4/mmm
magnetization	1.099	μB/f.u.

=====

C) The following is a DFT calculation (PBE) of crystalline GaHgIO2 at its relaxed geometry.

Cell lengths 3.978, 3.978, 6.266 Å; angles 90.00, 90.00, 90.00 degrees
Fractional positions:
1 I 0.000 0.000 0.500
2 O 0.000 0.500 0.000
3 O 0.500 0.000 0.000
4 Hg 0.500 0.500 0.500
5 Ga 0.000 0.000 0.000

Values from the calculation:
V	99.2	Å³/cell
space group	P4/mmm
magnetization	0.705	μB/f.u.

=====

Q: Which of them is the least stable? A: B).

=====

A) The following is a DFT calculation (PBE) of crystalline TlGaHg2I at its relaxed geometry.

Cell lengths 5.348, 5.348, 6.219 Å; angles 90.00, 90.00, 90.00 degrees
Fractional positions:
1 I 0.000 0.000 0.500
2 Tl 0.500 0.500 0.500
3 Hg 0.000 0.500 0.000
4 Hg 0.500 0.000 0.000
5 Ga 0.000 0.000 0.000

Values from the calculation:
V	177.9	Å³/cell
space group	P4/mmm
magnetization	0.000	μB/f.u.

=====

B) The following is a DFT calculation (PBE) of crystalline TlGaHg2I at its relaxed geometry.

Cell lengths 5.330, 5.330, 5.799 Å; angles 90.00, 90.00, 90.00 degrees
Fractional positions:
1 I 0.500 0.500 0.500
2 Tl 0.000 0.000 0.500
3 Hg 0.000 0.500 0.000
4 Hg 0.500 0.000 0.000
5 Ga 0.000 0.000 0.000

Values from the calculation:
V	164.8	Å³/cell
space group	P4/mmm
magnetization	0.000	μB/f.u.

=====

Q: Which of them is the least stable? A: A).